Crystalline FeRh2Au at its relaxed geometry. Source: the Alexandria database, functional PBEsol.

Results
ΔH_f (0 K), eV/atom: 0.19
DOS at the Fermi energy, states/eV per cell: 9.097
Total magnetic moment, μB per formula unit: 3.9
Mass density, kg/m3: 13394

a b c (Å): 2.799 4.561 8.907
angles (deg): 90.00 90.00 90.00
Space group Cmmm (No. 65)
One atom of each set of equivalent atoms:
Fe: 0.000 0.000 0.000 [2 per cell]
Rh: 0.000 0.500 0.227 [4 per cell]
Au: 0.000 0.000 0.500 [2 per cell]

---

Crystalline Fe2RhAu at its relaxed geometry. Source: the Alexandria database, functional PBEsol.

Results
ΔH_f (0 K), eV/atom: 0.09
DOS at the Fermi energy, states/eV per cell: 3.880
Total magnetic moment, μB per formula unit: 6.1
Mass density, kg/m3: 12701

a b c (Å): 2.700 3.684 5.409
angles (deg): 90.00 90.00 90.00
Space group Pmmm (No. 47)
One atom of each set of equivalent atoms:
Fe: 0.000 0.000 0.227 [2 per cell]
Rh: 0.500 0.500 0.000 [1 per cell]
Au: 0.500 0.500 0.500 [1 per cell]

---

> Which of these has the highest DOS at the Fermi energy?

FeRh2Au

---

> Which of these has the lowest mass density?

Fe2RhAu

---

What did the first record say?
Crystalline FeRh2Au at its relaxed geometry. Source: the Alexandria database, functional PBEsol.

Results
ΔH_f (0 K), eV/atom: 0.19
DOS at the Fermi energy, states/eV per cell: 9.097
Total magnetic moment, μB per formula unit: 3.9
Mass density, kg/m3: 13394

a b c (Å): 2.799 4.561 8.907
angles (deg): 90.00 90.00 90.00
Space group Cmmm (No. 65)
One atom of each set of equivalent atoms:
Fe: 0.000 0.000 0.000 [2 per cell]
Rh: 0.000 0.500 0.227 [4 per cell]
Au: 0.000 0.000 0.500 [2 per cell]

---

Repeat the first record exactly.
Crystalline FeRh2Au at its relaxed geometry. Source: the Alexandria database, functional PBEsol.

Results
ΔH_f (0 K), eV/atom: 0.19
DOS at the Fermi energy, states/eV per cell: 9.097
Total magnetic moment, μB per formula unit: 3.9
Mass density, kg/m3: 13394

a b c (Å): 2.799 4.561 8.907
angles (deg): 90.00 90.00 90.00
Space group Cmmm (No. 65)
One atom of each set of equivalent atoms:
Fe: 0.000 0.000 0.000 [2 per cell]
Rh: 0.000 0.500 0.227 [4 per cell]
Au: 0.000 0.000 0.500 [2 per cell]